[1]
## Cs2TaBr7 (PBE-GGA)

Data for crystalline Cs2TaBr7 at its relaxed geometry.

The value obtained for the uncorrected formation energy is -112.9 kJ per mole of atoms. The total moment is 0.00 μB/f.u. The total energy is -36.972 eV per formula unit. The calculation puts the offset from the most stable computed form at 18 meV per atom.

The structure belongs to space group Fm-3m (No. 225); the cell edges are 11.985, 11.985 and 11.985 Å and the angles 90.00°, 90.00° and 90.00°. The distinct sites, in fractional coordinates, are Cs at (0.250, 0.250, 0.250), Ta at (0.000, 0.000, 0.000), Br at (0.000, 0.000, 0.213) and Br at (0.000, 0.000, 0.500).


[2]
## Pm2ZnCuO5 (PBE-GGA)

Data for crystalline Pm2ZnCuO5 at its relaxed geometry.

The value obtained for the uncorrected formation energy is -180.2 kJ per mole of atoms. The total moment is 1.04 μB/f.u. The total energy is -56.475 eV per formula unit.

The structure belongs to space group P4/mbm (No. 127); the cell edges are 6.687, 6.687 and 5.702 Å and the angles 90.00°, 90.00° and 90.00°. The distinct sites, in fractional coordinates, are Pm at (0.173, 0.327, 0.000), Zn at (0.000, 0.500, 0.500), Cu at (0.000, 0.000, 0.500), O at (0.000, 0.000, 0.000) and O at (0.138, 0.638, 0.252).


[3]
## Ti5VNi3 (PBE-GGA)

Data for crystalline Ti5VNi3 at its relaxed geometry.

The total moment is 0.00 μB/f.u. The total energy is -67.273 eV per formula unit.

The structure belongs to space group P6_3/mcm (No. 193); the cell edges are 7.6386, 7.6386 and 5.1213 Å and the angles 90.00°, 90.00° and 120.00°. The distinct sites, in fractional coordinates, are Ti at (0.0000, 0.3146, 0.2500), Ti at (0.3333, 0.6667, 0.0000), V at (0.0000, 0.0000, 0.0000) and Ni at (0.0000, 0.3437, 0.7500).


[4]
## SbPbO4 (PBE-GGA)

Data for crystalline SbPbO4 at its relaxed geometry.

The value obtained for the uncorrected formation energy is -112.3 kJ per mole of atoms. The total moment is 0.00 μB/f.u. The total energy is -34.647 eV per formula unit.

The structure belongs to space group P2_1/c (No. 14); the cell edges are 6.048, 5.080 and 5.853 Å and the angles 90.00°, 109.09° and 90.00°. The distinct sites, in fractional coordinates, are Sb at (0.000, 0.000, 0.000), Pb at (0.500, 0.000, 0.500), O at (0.123, 0.216, 0.316) and O at (0.323, 0.648, 0.615).